A plane-wave DFT calculation with PBE-GGA was carried out for crystalline La2Cd15Pb2 at its relaxed geometry.

abc: 7.7966 7.7966 7.7966
angles: 84.65 84.65 84.65
With the nearest neighbours (Å) after each atom.
Fractional coordinates of all 19 atoms:
La: 0.3368 0.3368 0.3368  1 Pb 3.41, 9 Cd 3.60-3.63
La: 0.6632 0.6632 0.6632  1 Pb 3.41, 9 Cd 3.60-3.63
Cd: 0.0000 0.3149 0.6851  8 Cd 2.96-3.31
Cd: 0.0000 0.6851 0.3149  8 Cd 2.96-3.31
Cd: 0.6851 0.0000 0.3149  8 Cd 2.96-3.31
Cd: 0.3149 0.0000 0.6851  8 Cd 2.96-3.31
Cd: 0.3149 0.6851 0.0000  8 Cd 2.96-3.31
Cd: 0.0000 0.0000 0.5000  8 Cd 2.96-3.12, 2 Pb 3.16
Cd: 0.8260 0.3542 0.3542  8 Cd 2.88-3.12
Cd: 0.0000 0.5000 0.0000  8 Cd 2.96-3.12, 2 Pb 3.16
Cd: 0.3542 0.3542 0.8260  8 Cd 2.88-3.12
Cd: 0.6458 0.1740 0.6458  8 Cd 2.88-3.12
Cd: 0.6458 0.6458 0.1740  8 Cd 2.88-3.12
Cd: 0.6851 0.3149 0.0000  8 Cd 2.96-3.31
Cd: 0.5000 0.0000 0.0000  8 Cd 2.96-3.12, 2 Pb 3.16
Cd: 0.3542 0.8260 0.3542  8 Cd 2.88-3.12
Cd: 0.1740 0.6458 0.6458  8 Cd 2.88-3.12
Pb: 0.8951 0.8951 0.8951  1 Pb 3.09, 6 Cd 3.16-3.38, 1 La 3.41
Pb: 0.1049 0.1049 0.1049  1 Pb 3.09, 6 Cd 3.16-3.38, 1 La 3.41

## Properties
Total magnetic moment, μB/f.u.: 0.0
DOS(E_F), states/eV per cell: 7.08
Total energy, eV per atom: -1.792
Formation energy from the elements, eV per formula unit: -3.0
Symmetry: R-3m, No. 166